DFT (meta-GGA SCAN) results for a crystal of ZrCo2Se relaxed with PBEsol.

a b c (Å): 3.277 3.783 4.865
angles (deg): 90.00 90.00 90.00
Sites, in units of the cell vectors:
Zr: 0.000 0.000 0.000
Co: 0.500 0.500 0.239
Co: 0.500 0.500 0.761
Se: 0.500 0.000 0.500

Summary:
The calculation puts the size of the total moment at 1.4 μB per formula unit. The calculation puts the total energy at -21.520 eV/atom. The formation energy without anion corrections is -0.7 eV per formula unit. As for the crystal system: orthorhombic. The density of states at the Fermi level comes out at 3.70 states/eV per cell.


DFT (meta-GGA SCAN) results for a crystal of BaAl2Br relaxed with PBEsol.

a b c (Å): 3.526 3.526 29.539
angles (deg): 90.00 90.00 120.00
Sites, in units of the cell vectors:
Ba: 0.000 0.000 0.000
Ba: 0.333 0.667 0.667
Ba: 0.667 0.333 0.333
Al: 0.000 0.000 0.238
Al: 0.000 0.000 0.762
Al: 0.333 0.667 0.428
Al: 0.333 0.667 0.905
Al: 0.667 0.333 0.095
Al: 0.667 0.333 0.572
Br: 0.000 0.000 0.500
Br: 0.333 0.667 0.167
Br: 0.667 0.333 0.833

Summary:
The calculation puts the size of the total moment at 0.6 μB per formula unit. The calculation puts the total energy at -18.423 eV/atom. The formation energy without anion corrections is 0.8 eV per formula unit. As for the crystal system: trigonal. The density of states at the Fermi level comes out at 7.96 states/eV per cell.


DFT (meta-GGA SCAN) results for a crystal of La3TlH relaxed with PBEsol.

a b c (Å): 5.006 5.006 5.006
angles (deg): 90.00 90.00 90.00
Sites, in units of the cell vectors:
La: 0.000 0.000 0.500
La: 0.000 0.500 0.000
La: 0.500 0.000 0.000
Tl: 0.500 0.500 0.500
H: 0.000 0.000 0.000

Summary:
The calculation puts the size of the total moment at 2.2 μB per formula unit. The calculation puts the total energy at -41.490 eV/atom. As for the crystal system: cubic. The density of states at the Fermi level comes out at 3.24 states/eV per cell.


DFT (meta-GGA SCAN) results for a crystal of CoRuAu2 relaxed with PBEsol.

a b c (Å): 2.734 2.734 26.970
angles (deg): 90.00 90.00 120.00
Sites, in units of the cell vectors:
Co: 0.000 0.000 0.000
Co: 0.333 0.667 0.667
Co: 0.667 0.333 0.333
Ru: 0.000 0.000 0.264
Ru: 0.333 0.667 0.931
Ru: 0.667 0.333 0.597
Au: 0.000 0.000 0.509
Au: 0.000 0.000 0.748
Au: 0.333 0.667 0.176
Au: 0.333 0.667 0.415
Au: 0.667 0.333 0.082
Au: 0.667 0.333 0.842

Summary:
The calculation puts the size of the total moment at 2.5 μB per formula unit. The calculation puts the total energy at -47.364 eV/atom. The formation energy is 0.247 eV per atom. As for the crystal system: trigonal. The density of states at the Fermi level comes out at 8.12 states/eV per cell.


DFT (meta-GGA SCAN) results for a crystal of BaMg2In relaxed with PBEsol.

a b c (Å): 8.648 4.994 6.684
angles (deg): 90.00 115.63 90.00
Sites, in units of the cell vectors:
Ba: 0.000 0.000 0.000
Ba: 0.500 0.500 0.000
Mg: 0.021 0.500 0.563
Mg: 0.299 0.500 0.400
Mg: 0.521 0.000 0.563
Mg: 0.799 0.000 0.400
In: 0.206 0.000 0.621
In: 0.706 0.500 0.621

Summary:
The calculation puts the size of the total moment at 0.7 μB per formula unit. The calculation puts the total energy at -20.962 eV/atom. The formation energy is -0.241 eV per atom. As for the crystal system: monoclinic. The density of states at the Fermi level comes out at 5.08 states/eV per cell.


DFT (meta-GGA SCAN) results for a crystal of OsAuI2N relaxed with PBEsol.

a b c (Å): 5.449 5.449 3.690
angles (deg): 90.00 90.00 90.00
Sites, in units of the cell vectors:
Os: 0.000 0.000 0.000
Au: 0.500 0.500 0.500
I: 0.000 0.500 0.000
I: 0.500 0.000 0.000
N: 0.000 0.000 0.500

Summary:
The calculation puts the size of the total moment at 0.0 μB per formula unit. The calculation puts the total energy at -44.077 eV/atom. The formation energy without anion corrections is 3.4 eV per formula unit. As for the crystal system: tetragonal. The density of states at the Fermi level comes out at 3.24 states/eV per cell.


DFT (meta-GGA SCAN) results for a crystal of Ta2Ge2Pt relaxed with PBEsol.

a b c (Å): 3.458 3.458 14.170
angles (deg): 90.00 90.00 90.00
Sites, in units of the cell vectors:
Ta: 0.000 0.000 0.102
Ta: 0.000 0.000 0.898
Ta: 0.500 0.500 0.398
Ta: 0.500 0.500 0.602
Ge: 0.000 0.500 0.250
Ge: 0.000 0.500 0.750
Ge: 0.500 0.000 0.250
Ge: 0.500 0.000 0.750
Pt: 0.000 0.000 0.500
Pt: 0.500 0.500 0.000

Summary:
The calculation puts the size of the total moment at 0.0 μB per formula unit. The calculation puts the total energy at -48.328 eV/atom. The formation energy is -0.021 eV per atom. As for the crystal system: tetragonal. The density of states at the Fermi level comes out at 9.14 states/eV per cell.


DFT (meta-GGA SCAN) results for a crystal of ReAs2Cl relaxed with PBEsol.

a b c (Å): 7.461 3.093 7.707
angles (deg): 90.00 109.26 90.00
Sites, in units of the cell vectors:
Re: 0.000 0.000 0.000
Re: 0.500 0.500 0.000
As: 0.148 0.500 0.832
As: 0.352 0.000 0.168
As: 0.648 0.000 0.832
As: 0.852 0.500 0.168
Cl: 0.000 0.500 0.500
Cl: 0.500 0.000 0.500

Summary:
The calculation puts the size of the total moment at 0.0 μB per formula unit. The calculation puts the total energy at -29.833 eV/atom. The formation energy without anion corrections is 0.1 eV per formula unit. As for the crystal system: monoclinic. The density of states at the Fermi level comes out at 2.98 states/eV per cell.